Record 1
Material: Y2SBr2
Method: DFT, PBE-GGA
State: optimized geometry

The formation energy from raw total energies is -1.008 eV/atom. The total energy is -5.09 eV/atom. The density of states at the Fermi level is 1.23 states/eV/f.u. For the total moment, the calculation gives 0.000 μB/cell. The volume is 271.5 Å³/cell. Its crystal system is tetragonal.

The space group is I4/mmm (No. 139) and the conventional cell measures 5.1930, 5.1930 and 10.0668 Å, with angles of 90.00, 90.00 and 90.00 degrees. The inequivalent atoms are Y at (0.0000, 0.5000, 0.2500), S at (0.0000, 0.0000, 0.0000) and Br at (0.0000, 0.0000, 0.3500).

***

Record 2
Material: YS5Br
Method: DFT, PBE-GGA
State: optimized geometry

The formation energy from raw total energies is -0.692 eV/atom. The total energy is -4.80 eV/atom. The density of states at the Fermi level is 0.00 states/eV/f.u. For the total moment, the calculation gives 0.000 μB/cell. The volume is 221.3 Å³/cell. Its crystal system is triclinic.

The space group is P1 (No. 1) and the conventional cell measures 4.2283, 4.5798 and 11.5984 Å, with angles of 89.51, 80.22 and 89.80 degrees. The inequivalent atoms are Y at (0.0000, 0.0000, 0.0000), S at (0.4378, 0.8150, 0.1354), S at (0.4580, 0.2767, 0.0884), S at (0.5139, 0.9685, 0.5529), S at (0.5731, 0.2993, 0.4246), S at (0.8294, 0.6329, 0.4883) and Br at (0.0697, 0.5189, 0.8455).

***

Record 3
Material: YSBr3
Method: DFT, PBE-GGA
State: optimized geometry

The formation energy from raw total energies is -0.809 eV/atom. The total energy is -3.93 eV/atom. The density of states at the Fermi level is 7.56 states/eV/f.u. For the total moment, the calculation gives 2.000 μB/cell. The volume is 174.9 Å³/cell. As for the energy above the most stable polymorph in this dataset: 552 meV per atom. Its crystal system is cubic.

The space group is Pm-3m (No. 221) and the conventional cell measures 5.5924, 5.5924 and 5.5924 Å, with angles of 90.00, 90.00 and 90.00 degrees. The inequivalent atoms are Y at (0.0000, 0.0000, 0.0000), S at (0.5000, 0.5000, 0.5000) and Br at (0.0000, 0.0000, 0.5000).

***

Record 4
Material: Y2SBr2
Method: DFT, PBE-GGA
State: optimized geometry

The formation energy from raw total energies is -0.931 eV/atom. The total energy is -5.01 eV/atom. The density of states at the Fermi level is 3.23 states/eV/f.u. For the total moment, the calculation gives 0.000 μB/cell. The volume is 237.6 Å³/cell. Its crystal system is tetragonal.

The space group is P4/mbm (No. 127) and the conventional cell measures 8.2535, 8.2535 and 3.4876 Å, with angles of 90.00, 90.00 and 90.00 degrees. The inequivalent atoms are Y at (0.1721, 0.3279, 0.0000), S at (0.0000, 0.0000, 0.5000) and Br at (0.1286, 0.6286, 0.5000).

***

Record 5
Material: Y3SBr3
Method: DFT, PBE-GGA
State: optimized geometry

The formation energy from raw total energies is -1.673 eV/atom. The total energy is -5.75 eV/atom. The density of states at the Fermi level is 2.34 states/eV/f.u. For the total moment, the calculation gives 0.000 μB/cell. The volume is 1277.5 Å³/cell. Its crystal system is trigonal.

The space group is R-3 (No. 148, hexagonal axes) and the conventional cell measures 6.8123, 6.8123 and 31.7875 Å, with angles of 90.00, 90.00 and 120.00 degrees. The inequivalent atoms are Y at (0.0000, 0.3394, 0.0461), S at (0.0000, 0.0000, 0.3333) and Br at (0.9999, 0.3306, 0.8959).

***

Record 6
Material: Y2SBr
Method: DFT, PBE-GGA
State: optimized geometry

The formation energy from raw total energies is -1.207 eV/atom. The total energy is -5.89 eV/atom. The density of states at the Fermi level is 2.56 states/eV/f.u. For the total moment, the calculation gives 0.000 μB/cell. The volume is 342.7 Å³/cell. As for the energy above the most stable polymorph in this dataset: 280 meV per atom. Its crystal system is cubic.

The space group is Fm-3m (No. 225) and the conventional cell measures 6.9979, 6.9979 and 6.9979 Å, with angles of 90.00, 90.00 and 90.00 degrees. The inequivalent atoms are Y at (0.2500, 0.2500, 0.2500), S at (0.0000, 0.0000, 0.0000) and Br at (0.0000, 0.0000, 0.5000).

***

Record 7
Material: YZnSBr2
Method: DFT, PBE-GGA
State: optimized geometry

The formation energy from raw total energies is -0.213 eV/atom. The total energy is -3.26 eV/atom. The density of states at the Fermi level is 2.49 states/eV/f.u. For the total moment, the calculation gives 0.000 μB/cell. The volume is 177.1 Å³/cell. Its crystal system is tetragonal.

The space group is P4/mmm (No. 123) and the conventional cell measures 5.9791, 5.9791 and 4.9543 Å, with angles of 90.00, 90.00 and 90.00 degrees. The inequivalent atoms are Y at (0.0000, 0.0000, 0.0000), Zn at (0.5000, 0.5000, 0.0000), S at (0.0000, 0.0000, 0.5000) and Br at (0.0000, 0.5000, 0.5000).

***

Record 8
Material: ZnS2Br2
Method: DFT, PBE-GGA
State: optimized geometry

The formation energy from raw total energies is 0.090 eV/atom. The total energy is -2.48 eV/atom. The density of states at the Fermi level is 1.88 states/eV/f.u. For the total moment, the calculation gives 0.000 μB/cell. The volume is 238.0 Å³/cell. As for the energy above the most stable polymorph in this dataset: 0 meV per atom. Its crystal system is tetragonal.

The space group is P4/mbm (No. 127) and the conventional cell measures 6.8904, 6.8904 and 5.0126 Å, with angles of 90.00, 90.00 and 90.00 degrees. The inequivalent atoms are Zn at (0.0000, 0.0000, 0.0000), S at (0.1943, 0.3057, 0.0000) and Br at (0.1745, 0.3255, 0.5000).

***

Which value of formation energy from raw total energies does entry 3 give?
-0.809 eV/atom

***

Which value of total moment does entry 4 give?
0.000 μB/cell

***

Copy entry 3 word for word.
Material: YSBr3
Method: DFT, PBE-GGA
State: optimized geometry

The formation energy from raw total energies is -0.809 eV/atom. The total energy is -3.93 eV/atom. The density of states at the Fermi level is 7.56 states/eV/f.u. For the total moment, the calculation gives 2.000 μB/cell. The volume is 174.9 Å³/cell. As for the energy above the most stable polymorph in this dataset: 552 meV per atom. Its crystal system is cubic.

The space group is Pm-3m (No. 221) and the conventional cell measures 5.5924, 5.5924 and 5.5924 Å, with angles of 90.00, 90.00 and 90.00 degrees. The inequivalent atoms are Y at (0.0000, 0.0000, 0.0000), S at (0.5000, 0.5000, 0.5000) and Br at (0.0000, 0.0000, 0.5000).